Entry a
# PBE-GGA HoSc2S3, optimized geometry
data_HoSc2S3
_chemical_formula_sum 'Ho2 Sc4 S6'
_cell_length_a 3.7644
_cell_length_b 5.3258
_cell_length_c 11.2593
_cell_angle_alpha 90.00
_cell_angle_beta 90.00
_cell_angle_gamma 90.00
_space_group_name_H-M_alt 'P 1'
_space_group_IT_number 1
loop_
_space_group_symop_operation_xyz
'x,y,z'
loop_
_atom_site_label
_atom_site_fract_x
_atom_site_fract_y
_atom_site_fract_z
_atom_site_occupancy
Ho1 0.0000 0.0000 0.0000 1
Ho2 0.5000 0.5000 0.5000 1
Sc1 0.0000 0.0000 0.3393 1
Sc2 0.0000 0.0000 0.6607 1
Sc3 0.5000 0.5000 0.1607 1
Sc4 0.5000 0.5000 0.8393 1
S1 0.0000 0.5000 0.0000 1
S2 0.0000 0.5000 0.3246 1
S3 0.0000 0.5000 0.6754 1
S4 0.5000 0.0000 0.1754 1
S5 0.5000 0.0000 0.5000 1
S6 0.5000 0.0000 0.8246 1
# size of the total moment: 0.00 μB per cell
# SG: No. 71
# calculated volume: 18.811 Å³ per atom
# crystal system: orthorhombic



Entry b
# PBE-GGA HoSc2S3, optimized geometry
data_HoSc2S3
_chemical_formula_sum 'Ho2 Sc4 S6'
_cell_length_a 7.7256
_cell_length_b 7.7256
_cell_length_c 5.5959
_cell_angle_alpha 90.00
_cell_angle_beta 90.00
_cell_angle_gamma 102.82
_space_group_name_H-M_alt 'P 1'
_space_group_IT_number 1
loop_
_space_group_symop_operation_xyz
'x,y,z'
loop_
_atom_site_label
_atom_site_fract_x
_atom_site_fract_y
_atom_site_fract_z
_atom_site_occupancy
Ho1 0.0914 0.9086 0.7500 1
Ho2 0.9086 0.0914 0.2500 1
Sc1 0.3208 0.3208 0.0000 1
Sc2 0.3208 0.3208 0.5000 1
Sc3 0.6792 0.6792 0.0000 1
Sc4 0.6792 0.6792 0.5000 1
S1 0.0476 0.2567 0.7500 1
S2 0.2567 0.0476 0.2500 1
S3 0.4017 0.5983 0.2500 1
S4 0.5983 0.4017 0.7500 1
S5 0.7433 0.9524 0.7500 1
S6 0.9524 0.7433 0.2500 1
# size of the total moment: 0.00 μB per cell
# SG: No. 63
# calculated volume: 27.139 Å³ per atom
# crystal system: orthorhombic



Quick one: least stable of them? entry b



Entry a
# PBE-GGA HoSeS, optimized geometry
data_HoSeS
_chemical_formula_sum 'Ho4 Se4 S4'
_cell_length_a 3.9503
_cell_length_b 3.9503
_cell_length_c 16.3417
_cell_angle_alpha 90.00
_cell_angle_beta 90.00
_cell_angle_gamma 90.00
_space_group_name_H-M_alt 'P 1'
_space_group_IT_number 1
loop_
_space_group_symop_operation_xyz
'x,y,z'
loop_
_atom_site_label
_atom_site_fract_x
_atom_site_fract_y
_atom_site_fract_z
_atom_site_occupancy
Ho1 0.0000 0.0000 0.1461 1
Ho2 0.0000 0.0000 0.8539 1
Ho3 0.5000 0.5000 0.3539 1
Ho4 0.5000 0.5000 0.6461 1
Se1 0.0000 0.5000 0.0000 1
Se2 0.0000 0.5000 0.5000 1
Se3 0.5000 0.0000 0.0000 1
Se4 0.5000 0.0000 0.5000 1
S1 0.0000 0.0000 0.3149 1
S2 0.0000 0.0000 0.6851 1
S3 0.5000 0.5000 0.1851 1
S4 0.5000 0.5000 0.8149 1
# size of the total moment: 0.00 μB per cell
# SG: No. 139
# calculated volume: 21.251 Å³ per atom
# crystal system: tetragonal



Entry b
# PBE-GGA HoSeS, optimized geometry
data_HoSeS
_chemical_formula_sum 'Ho4 Se4 S4'
_cell_length_a 3.9328
_cell_length_b 5.3077
_cell_length_c 13.2981
_cell_angle_alpha 90.00
_cell_angle_beta 90.00
_cell_angle_gamma 90.00
_space_group_name_H-M_alt 'P 1'
_space_group_IT_number 1
loop_
_space_group_symop_operation_xyz
'x,y,z'
loop_
_atom_site_label
_atom_site_fract_x
_atom_site_fract_y
_atom_site_fract_z
_atom_site_occupancy
Ho1 0.0000 0.0000 0.1519 1
Ho2 0.0000 0.0000 0.8481 1
Ho3 0.5000 0.5000 0.3481 1
Ho4 0.5000 0.5000 0.6519 1
Se1 0.0000 0.2492 0.5000 1
Se2 0.0000 0.7508 0.5000 1
Se3 0.5000 0.2508 0.0000 1
Se4 0.5000 0.7492 0.0000 1
S1 0.0000 0.5000 0.2134 1
S2 0.0000 0.5000 0.7866 1
S3 0.5000 0.0000 0.2866 1
S4 0.5000 0.0000 0.7134 1
# size of the total moment: 0.00 μB per cell
# SG: No. 71
# calculated volume: 23.132 Å³ per atom
# crystal system: orthorhombic



Quick one: least stable of them? entry a



Entry a
# PBE-GGA Ho3SeS2, optimized geometry
data_Ho3SeS2
_chemical_formula_sum 'Ho6 Se2 S4'
_cell_length_a 3.9475
_cell_length_b 5.5679
_cell_length_c 11.8274
_cell_angle_alpha 90.00
_cell_angle_beta 90.00
_cell_angle_gamma 90.00
_space_group_name_H-M_alt 'P 1'
_space_group_IT_number 1
loop_
_space_group_symop_operation_xyz
'x,y,z'
loop_
_atom_site_label
_atom_site_fract_x
_atom_site_fract_y
_atom_site_fract_z
_atom_site_occupancy
Ho1 0.0000 0.0000 0.0000 1
Ho2 0.0000 0.0000 0.3217 1
Ho3 0.0000 0.0000 0.6783 1
Ho4 0.5000 0.5000 0.1783 1
Ho5 0.5000 0.5000 0.5000 1
Ho6 0.5000 0.5000 0.8217 1
Se1 0.0000 0.5000 0.0000 1
Se2 0.5000 0.0000 0.5000 1
S1 0.0000 0.5000 0.3368 1
S2 0.0000 0.5000 0.6632 1
S3 0.5000 0.0000 0.1632 1
S4 0.5000 0.0000 0.8368 1
# size of the total moment: 0.00 μB per cell
# SG: No. 71
# calculated volume: 21.663 Å³ per atom
# crystal system: orthorhombic



Entry b
# PBE-GGA Ho3SeS2, optimized geometry
data_Ho3SeS2
_chemical_formula_sum 'Ho6 Se2 S4'
_cell_length_a 6.9469
_cell_length_b 6.9469
_cell_length_c 10.7780
_cell_angle_alpha 90.00
_cell_angle_beta 90.00
_cell_angle_gamma 146.79
_space_group_name_H-M_alt 'P 1'
_space_group_IT_number 1
loop_
_space_group_symop_operation_xyz
'x,y,z'
loop_
_atom_site_label
_atom_site_fract_x
_atom_site_fract_y
_atom_site_fract_z
_atom_site_occupancy
Ho1 0.0976 0.9024 0.7500 1
Ho2 0.3558 0.6442 0.5564 1
Ho3 0.3558 0.6442 0.9436 1
Ho4 0.6442 0.3558 0.0564 1
Ho5 0.6442 0.3558 0.4436 1
Ho6 0.9024 0.0976 0.2500 1
Se1 0.2458 0.7542 0.2500 1
Se2 0.7542 0.2458 0.7500 1
S1 0.0000 0.0000 0.0000 1
S2 0.0000 0.0000 0.5000 1
S3 0.4721 0.5279 0.7500 1
S4 0.5279 0.4721 0.2500 1
# size of the total moment: 0.00 μB per cell
# SG: No. 63
# calculated volume: 23.740 Å³ per atom
# crystal system: orthorhombic



Quick one: least stable of them? entry b



Entry a
# PBE-GGA Ho3Se2S, optimized geometry
data_Ho3Se2S
_chemical_formula_sum 'Ho6 Se4 S2'
_cell_length_a 3.9942
_cell_length_b 5.6296
_cell_length_c 12.0930
_cell_angle_alpha 90.00
_cell_angle_beta 90.00
_cell_angle_gamma 90.00
_space_group_name_H-M_alt 'P 1'
_space_group_IT_number 1
loop_
_space_group_symop_operation_xyz
'x,y,z'
loop_
_atom_site_label
_atom_site_fract_x
_atom_site_fract_y
_atom_site_fract_z
_atom_site_occupancy
Ho1 0.0000 0.0000 0.0000 1
Ho2 0.0000 0.0000 0.3497 1
Ho3 0.0000 0.0000 0.6503 1
Ho4 0.5000 0.5000 0.1503 1
Ho5 0.5000 0.5000 0.5000 1
Ho6 0.5000 0.5000 0.8497 1
Se1 0.0000 0.5000 0.3279 1
Se2 0.0000 0.5000 0.6721 1
Se3 0.5000 0.0000 0.1721 1
Se4 0.5000 0.0000 0.8279 1
S1 0.0000 0.5000 0.0000 1
S2 0.5000 0.0000 0.5000 1
# size of the total moment: 0.00 μB per cell
# SG: No. 71
# calculated volume: 22.660 Å³ per atom
# crystal system: orthorhombic



Entry b
# PBE-GGA Ho3Se2S, optimized geometry
data_Ho3Se2S
_chemical_formula_sum 'Ho6 Se4 S2'
_cell_length_a 3.9505
_cell_length_b 3.9505
_cell_length_c 20.2922
_cell_angle_alpha 90.00
_cell_angle_beta 90.00
_cell_angle_gamma 120.00
_space_group_name_H-M_alt 'P 1'
_space_group_IT_number 1
loop_
_space_group_symop_operation_xyz
'x,y,z'
loop_
_atom_site_label
_atom_site_fract_x
_atom_site_fract_y
_atom_site_fract_z
_atom_site_occupancy
Ho1 0.0000 0.0000 0.0000 1
Ho2 0.0000 0.0000 0.5000 1
Ho3 0.3333 0.6667 0.1665 1
Ho4 0.3333 0.6667 0.3335 1
Ho5 0.6667 0.3333 0.6665 1
Ho6 0.6667 0.3333 0.8335 1
Se1 0.3333 0.6667 0.5841 1
Se2 0.3333 0.6667 0.9159 1
Se3 0.6667 0.3333 0.0841 1
Se4 0.6667 0.3333 0.4159 1
S1 0.0000 0.0000 0.2500 1
S2 0.0000 0.0000 0.7500 1
# size of the total moment: 0.00 μB per cell
# SG: No. 194
# calculated volume: 22.855 Å³ per atom
# crystal system: hexagonal



Quick one: least stable of them? entry b



Entry a
# PBE-GGA Ho2SeS, optimized geometry
data_Ho2SeS
_chemical_formula_sum 'Ho4 Se2 S2'
_cell_length_a 7.5727
_cell_length_b 4.3591
_cell_length_c 7.7259
_cell_angle_alpha 90.00
_cell_angle_beta 108.96
_cell_angle_gamma 90.00
_space_group_name_H-M_alt 'P 1'
_space_group_IT_number 1
loop_
_space_group_symop_operation_xyz
'x,y,z'
loop_
_atom_site_label
_atom_site_fract_x
_atom_site_fract_y
_atom_site_fract_z
_atom_site_occupancy
Ho1 0.0000 0.0000 0.0000 1
Ho2 0.0159 0.5000 0.5467 1
Ho3 0.5000 0.5000 0.0000 1
Ho4 0.5159 0.0000 0.5467 1
Se1 0.3878 0.0000 0.1666 1
Se2 0.8878 0.5000 0.1666 1
S1 0.3795 0.5000 0.6397 1
S2 0.8795 0.0000 0.6397 1
# size of the total moment: 0.00 μB per cell
# SG: No. 8
# calculated volume: 30.149 Å³ per atom
# crystal system: monoclinic



Entry b
# PBE-GGA Ho2SeS, optimized geometry
data_Ho2SeS
_chemical_formula_sum 'Ho6 Se3 S3'
_cell_length_a 3.8783
_cell_length_b 3.8783
_cell_length_c 20.5576
_cell_angle_alpha 90.00
_cell_angle_beta 90.00
_cell_angle_gamma 120.00
_space_group_name_H-M_alt 'P 1'
_space_group_IT_number 1
loop_
_space_group_symop_operation_xyz
'x,y,z'
loop_
_atom_site_label
_atom_site_fract_x
_atom_site_fract_y
_atom_site_fract_z
_atom_site_occupancy
Ho1 0.0000 0.0000 0.0000 1
Ho2 0.0000 0.0000 0.1850 1
Ho3 0.3333 0.6667 0.6667 1
Ho4 0.3333 0.6667 0.8517 1
Ho5 0.6667 0.3333 0.3333 1
Ho6 0.6667 0.3333 0.5183 1
Se1 0.0000 0.0000 0.7602 1
Se2 0.3333 0.6667 0.4269 1
Se3 0.6667 0.3333 0.0935 1
S1 0.0000 0.0000 0.5904 1
S2 0.3333 0.6667 0.2571 1
S3 0.6667 0.3333 0.9238 1
# size of the total moment: 0.00 μB per cell
# SG: No. 160
# calculated volume: 22.315 Å³ per atom
# crystal system: trigonal



Quick one: least stable of them? entry a



Entry a
# PBE-GGA Ho2Se2S, optimized geometry
data_Ho2Se2S
_chemical_formula_sum 'Ho4 Se4 S2'
_cell_length_a 7.0618
_cell_length_b 7.0618
_cell_length_c 8.3550
_cell_angle_alpha 110.64
_cell_angle_beta 110.64
_cell_angle_gamma 47.69
_space_group_name_H-M_alt 'P 1'
_space_group_IT_number 1
loop_
_space_group_symop_operation_xyz
'x,y,z'
loop_
_atom_site_label
_atom_site_fract_x
_atom_site_fract_y
_atom_site_fract_z
_atom_site_occupancy
Ho1 0.0142 0.0142 0.2826 1
Ho2 0.3263 0.3263 0.9039 1
Ho3 0.6737 0.6737 0.0961 1
Ho4 0.9858 0.9858 0.7174 1
Se1 0.1646 0.1646 0.0738 1
Se2 0.4882 0.4882 0.7595 1
Se3 0.5118 0.5118 0.2405 1
Se4 0.8354 0.8354 0.9262 1
S1 0.1506 0.1506 0.6092 1
S2 0.8494 0.8494 0.3908 1
# size of the total moment: 0.00 μB per cell
# SG: No. 12
# calculated volume: 28.432 Å³ per atom
# crystal system: monoclinic



Entry b
# PBE-GGA Ho2Se2S, optimized geometry
data_Ho2Se2S
_chemical_formula_sum 'Ho4 Se4 S2'
_cell_length_a 7.0386
_cell_length_b 4.0636
_cell_length_c 10.7075
_cell_angle_alpha 90.00
_cell_angle_beta 98.56
_cell_angle_gamma 90.00
_space_group_name_H-M_alt 'P 1'
_space_group_IT_number 1
loop_
_space_group_symop_operation_xyz
'x,y,z'
loop_
_atom_site_label
_atom_site_fract_x
_atom_site_fract_y
_atom_site_fract_z
_atom_site_occupancy
Ho1 0.2044 0.0000 0.1661 1
Ho2 0.2956 0.5000 0.8339 1
Ho3 0.7044 0.5000 0.1661 1
Ho4 0.7956 0.0000 0.8339 1
Se1 0.0988 0.0000 0.7006 1
Se2 0.4012 0.5000 0.2994 1
Se3 0.5988 0.5000 0.7006 1
Se4 0.9012 0.0000 0.2994 1
S1 0.0000 0.5000 0.0000 1
S2 0.5000 0.0000 0.0000 1
# size of the total moment: 0.00 μB per cell
# SG: No. 12
# calculated volume: 30.284 Å³ per atom
# crystal system: monoclinic



Quick one: least stable of them? entry b